A relaxed structure of Tb2Pr8Sm, computed with GGA-PBE.

- Magnetization: 0.00 μB per atom
- Volume: 35.70 Å³ per atom
- Space group: C2/m (12)
- ΔE_f: 0.16 eV/atom

Lattice parameters (Å, degrees): 9.2265 9.2265 6.7756 99.36 99.36 43.75
Fractional positions:
1 Tb 0.1976 0.1976 0.3096
2 Tb 0.8024 0.8024 0.6904
3 Pr 0.1741 0.6514 0.0920
4 Pr 0.2449 0.2449 0.8208
5 Pr 0.3486 0.8259 0.9080
6 Pr 0.4054 0.4054 0.5839
7 Pr 0.5946 0.5946 0.4161
8 Pr 0.6514 0.1741 0.0920
9 Pr 0.7551 0.7551 0.1792
10 Pr 0.8259 0.3486 0.9080
11 Sm 0.0000 0.0000 0.5000